# 1
Density functional theory data (PBE) for a relaxed structure of Pa6SiS5.

ΔE_f (raw)	-1419	meV per atom
total energy	-8.339	eV/atom
density of states at the Fermi level	1.4975	states/eV per atom

The structure in CIF format:
```
data_Pa6SiS5
_cell_length_a 6.938
_cell_length_b 12.040
_cell_length_c 6.570
_cell_angle_alpha 90.00
_cell_angle_beta 110.70
_cell_angle_gamma 90.00
_symmetry_space_group_name_H-M 'C 1 2/m 1'
_symmetry_Int_Tables_number 12
loop_
_symmetry_equiv_pos_as_xyz
'x,y,z'
'-x,-y,-z'
'-x,y,-z'
'x,-y,z'
'x+1/2,y+1/2,z'
'-x+1/2,-y+1/2,-z'
'-x+1/2,y+1/2,-z'
'x+1/2,-y+1/2,z'
loop_
_atom_site_label
_atom_site_fract_x
_atom_site_fract_y
_atom_site_fract_z
Pa1 0.245 0.169 0.243
Pa2 0.246 0.000 0.753
Si1 0.000 0.500 0.500
S1 0.000 0.000 0.000
S2 0.000 0.168 0.500
S3 0.000 0.338 0.000
```

# 2
Density functional theory data (PBE) for a relaxed structure of BaOs2Rh.

total energy	-6.652	eV/atom
density of states at the Fermi level	1.3281	states/eV per atom

The structure in CIF format:
```
data_BaOs2Rh
_cell_length_a 4.571
_cell_length_b 4.571
_cell_length_c 7.175
_cell_angle_alpha 90.00
_cell_angle_beta 90.00
_cell_angle_gamma 90.00
_symmetry_space_group_name_H-M 'I -4 m 2'
_symmetry_Int_Tables_number 119
_symmetry_space_group_name_Hall 'I -4 -2'
loop_
_atom_site_label
_atom_site_fract_x
_atom_site_fract_y
_atom_site_fract_z
Ba1 0.000 0.000 0.000
Os1 0.000 0.000 0.500
Os2 0.000 0.500 0.750
Rh1 0.000 0.500 0.250
```

# 3
Density functional theory data (PBE) for a relaxed structure of ZrScNi.

total energy	-6.992	eV/atom
density of states at the Fermi level	0.6507	states/eV per atom

The structure in CIF format:
```
data_ZrScNi
_cell_length_a 4.4024
_cell_length_b 4.4024
_cell_length_c 3.3502
_cell_angle_alpha 90.00
_cell_angle_beta 90.00
_cell_angle_gamma 120.00
_symmetry_space_group_name_H-M 'P 3 m 1'
_symmetry_Int_Tables_number 156
loop_
_symmetry_equiv_pos_as_xyz
'x,y,z'
'-y,x-y,z'
'-x+y,-x,z'
'-y,-x,z'
'-x+y,y,z'
'x,x-y,z'
loop_
_atom_site_label
_atom_site_fract_x
_atom_site_fract_y
_atom_site_fract_z
Zr1 0.0000 0.0000 0.0000
Sc1 0.3333 0.6667 0.5506
Ni1 0.6667 0.3333 0.2691
```